Compound: PmTmCdCo
Source: the Alexandria database
Functional: PBE-GGA
Structure: optimized geometry

a b c (Å): 5.069 5.069 5.069
angles (deg): 60.00 60.00 60.00
Fractional positions:
Pm 0.000 0.000 0.000
Tm 0.500 0.500 0.500
Cd 0.250 0.250 0.250
Co 0.750 0.750 0.750

## Properties
Magnetization in μB per cell: 0.44
ΔH_f (0 K) in eV/atom: -0.1102
ΔE to the lowest computed polymorph in eV/atom: 0.114